Record 1
A plane-wave DFT calculation with GGA-PBE was carried out for a relaxed BaZn2SbH2 crystal.

The structure in CIF format:
```
data_BaZn2SbH2
_chemical_formula_sum 'Ba2 Zn4 Sb2 H4'
_symmetry_space_group_name_H-M 'P 1 21/m 1'
_symmetry_Int_Tables_number 11
_symmetry_space_group_name_Hall '-P 2yb'
_cell_length_a 7.0366
_cell_length_b 5.7623
_cell_length_c 7.0615
_cell_angle_alpha 90.00
_cell_angle_beta 115.92
_cell_angle_gamma 90.00
loop_
_atom_site_label
_atom_site_type_symbol
_atom_site_fract_x
_atom_site_fract_y
_atom_site_fract_z
Ba1 Ba 0.1606 0.2500 0.3409
Zn1 Zn 0.3153 0.0000 0.8147
Sb1 Sb 0.3363 0.7500 0.1604
H1 H 0.1425 0.2500 0.7300
H2 H 0.2324 0.7500 0.6424
```

Summary:
The density of states at the Fermi level comes out at 1.3 states/eV per cell. The calculation puts the calculated total energy at -2.771 eV/atom. As for the total magnetization: 0.00 μB/f.u.


Record 2
A plane-wave DFT calculation with GGA-PBE was carried out for a relaxed SrTcPbN2 crystal.

The structure in CIF format:
```
data_SrTcPbN2
_chemical_formula_sum 'Sr1 Tc1 Pb1 N2'
_symmetry_space_group_name_H-M 'P 4/m m m'
_symmetry_Int_Tables_number 123
_symmetry_space_group_name_Hall '-P 4 2'
_cell_length_a 4.6222
_cell_length_b 4.6222
_cell_length_c 5.2437
_cell_angle_alpha 90.00
_cell_angle_beta 90.00
_cell_angle_gamma 90.00
loop_
_atom_site_label
_atom_site_type_symbol
_atom_site_fract_x
_atom_site_fract_y
_atom_site_fract_z
Sr1 Sr 0.0000 0.0000 0.0000
Tc1 Tc 0.5000 0.5000 0.0000
Pb1 Pb 0.5000 0.5000 0.5000
N1 N 0.0000 0.5000 0.5000
```

Summary:
The density of states at the Fermi level comes out at 4.8 states/eV per cell. The calculation puts the calculated total energy at -4.742 eV/atom. The calculation puts the energy relative to the elements, uncorrected at 1.74 eV/atom. As for the total magnetization: 4.61 μB/f.u.


Record 3
A plane-wave DFT calculation with GGA-PBE was carried out for a relaxed Li2ScTa crystal.

The structure in CIF format:
```
data_Li2ScTa
_chemical_formula_sum 'Li2 Sc1 Ta1'
_symmetry_space_group_name_H-M 'P 1 2/m 1'
_symmetry_Int_Tables_number 10
_symmetry_space_group_name_Hall '-P 2y'
_cell_length_a 2.7653
_cell_length_b 5.3229
_cell_length_c 5.2130
_cell_angle_alpha 90.00
_cell_angle_beta 93.05
_cell_angle_gamma 90.00
loop_
_atom_site_label
_atom_site_type_symbol
_atom_site_fract_x
_atom_site_fract_y
_atom_site_fract_z
Li1 Li 0.2152 0.0000 0.2300
Sc1 Sc 0.0000 0.5000 0.5000
Ta1 Ta 0.5000 0.5000 0.0000
```

Summary:
Its energy of formation is 376 meV/atom. The density of states at the Fermi level comes out at 3.6 states/eV per cell. The calculation puts the calculated total energy at -5.127 eV/atom. As for the total magnetization: 0.00 μB/f.u. The polymorph energy (0 for the lowest one) is 196 meV per atom.